Entry 1:
DFT (SCAN) results for Y4MgP at its PBEsol-relaxed geometry.

Computed properties:
Energy of formation = 0.4727 eV per atom

a b c (Å): 8.7015 8.7015 8.7015
angles (deg): 90.00 90.00 90.00
With the nearest neighbours (Å) after each atom.
Space group F-43m (No. 216)
Unique sites:
Y 0.1250 0.1250 0.1250 (multiplicity 16)  6 Y 3.08
Mg 0.0000 0.0000 0.5000 (multiplicity 4)  12 Y 3.61, 4 P 3.77
P 0.2500 0.2500 0.7500 (multiplicity 4)  12 Y 3.61, 4 Mg 3.77

***

Entry 2:
DFT (SCAN) results for CoSbAs2 at its PBEsol-relaxed geometry.

Computed properties:
ΔE_f (raw) = 0.78 eV/f.u.

a b c (Å): 3.5956 3.5956 19.2829
angles (deg): 90.00 90.00 120.00
With the nearest neighbours (Å) after each atom.
Space group R3m (No. 160, hexagonal axes)
Unique sites:
Co 0.0000 0.0000 0.0000 (multiplicity 3)  3 As 2.35, 3 Sb 2.59
Sb 0.0000 0.0000 0.2526 (multiplicity 3)  3 Co 2.59, 3 As 2.83
As 0.0000 0.0000 0.4863 (multiplicity 3)  3 As 2.78, 3 Sb 2.83
As 0.0000 0.0000 0.7241 (multiplicity 3)  3 Co 2.35

***

Entry 3:
DFT (SCAN) results for Cr2FeHg at its PBEsol-relaxed geometry.

Computed properties:
Energy of formation = 0.5234 eV per atom

a b c (Å): 8.7117 2.7704 4.5993
angles (deg): 90.00 101.84 90.00
With the nearest neighbours (Å) after each atom.
Space group C2/m (No. 12)
Unique sites:
Cr 0.2391 0.0000 0.1747 (multiplicity 4)  2 Cr 2.16
Fe 0.0000 0.5000 0.0000 (multiplicity 2)  6 Cr 2.49-2.56, 4 Hg 2.68, 2 Fe 2.77
Hg 0.0000 0.0000 0.5000 (multiplicity 2)  4 Fe 2.68, 2 Hg 2.77, 6 Cr 2.80-2.82